(1)
{
  "formula": "LaPr7In2",
  "functional": "PBE",
  "state": "optimized geometry",
  "lattice_angstrom": [[-4.7765, 2.1558, 2.0831], [-1.3665, -7.7425, 4.8796], [4.7959, 6.9251, 3.8298]],
  "species": ["La", "Pr", "Pr", "Pr", "Pr", "Pr", "Pr", "Pr", "In", "In"],
  "fractional_positions": [[0.0000, 0.0000, 0.0000], [0.0000, 0.7707, 0.2293], [0.0000, 0.2293, 0.7707], [0.5000, 0.0582, 0.3031], [0.5000, 0.9418, 0.6969], [0.5000, 0.3031, 0.0582], [0.5000, 0.6969, 0.9418], [0.5000, 0.5000, 0.5000], [0.5000, 0.6958, 0.3042], [0.5000, 0.3042, 0.6958]],
  "energy_ev_per_atom": -4.0968
}

***

(2)
{
  "formula": "KPaAgI6",
  "functional": "PBE",
  "state": "optimized geometry",
  "lattice_angstrom": [[-6.4710, -3.9093, -2.0848], [7.0508, -3.3009, -0.9449], [-0.9485, -6.1933, 14.5573]],
  "species": ["K", "K", "Pa", "Pa", "Ag", "Ag", "I", "I", "I", "I", "I", "I", "I", "I", "I", "I", "I", "I"],
  "fractional_positions": [[0.0000, 0.0000, 0.0000], [0.0000, 0.0000, 0.5000], [0.6667, 0.3333, 0.2500], [0.3333, 0.6667, 0.7500], [0.3333, 0.6667, 0.2500], [0.6667, 0.3333, 0.7500], [0.6403, 0.6358, 0.1381], [0.9955, 0.3597, 0.1381], [0.3597, 0.9955, 0.6381], [0.0045, 0.6403, 0.8619], [0.3642, 0.3597, 0.3619], [0.9955, 0.6358, 0.3619], [0.6358, 0.9955, 0.8619], [0.6403, 0.0045, 0.3619], [0.0045, 0.3642, 0.6381], [0.3642, 0.0045, 0.1381], [0.6358, 0.6403, 0.6381], [0.3597, 0.3642, 0.8619]],
  "energy_ev_per_atom": -3.4290,
  "e_form_raw_ev_per_atom": -0.90
}

***

(3)
{
  "formula": "LaMnZnGe2",
  "functional": "PBE",
  "state": "optimized geometry",
  "lattice_angstrom": [[-0.2808, 3.3972, 3.0628], [1.4001, -2.8575, 3.2978], [4.4679, 1.1675, -0.8852]],
  "species": ["Ge", "Ge", "Mn", "Zn", "La"],
  "fractional_positions": [[0.0000, 0.5000, 0.0000], [0.5000, 0.0000, 0.0000], [0.0000, 0.0000, 0.0000], [0.0000, 0.0000, 0.5000], [0.5000, 0.5000, 0.5000]],
  "energy_ev_per_atom": -5.2326
}

***

(4)
{
  "formula": "MgNbCr",
  "functional": "PBE",
  "state": "optimized geometry",
  "lattice_angstrom": [[3.1565, 0.0000, 0.0000], [0.0000, 14.0700, 0.0000], [0.0000, 0.0000, 4.5633]],
  "species": ["Mg", "Mg", "Mg", "Mg", "Nb", "Nb", "Nb", "Nb", "Cr", "Cr", "Cr", "Cr"],
  "fractional_positions": [[0.0000, 0.7692, 0.2500], [0.0000, 0.2308, 0.7500], [0.5000, 0.2692, 0.2500], [0.5000, 0.7308, 0.7500], [0.0000, 0.0762, 0.2500], [0.0000, 0.9238, 0.7500], [0.5000, 0.5762, 0.2500], [0.5000, 0.4238, 0.7500], [0.0000, 0.4343, 0.2500], [0.0000, 0.5657, 0.7500], [0.5000, 0.9343, 0.2500], [0.5000, 0.0657, 0.7500]],
  "energy_ev_per_atom": -6.8448,
  "de_polymorph_ev_per_atom": 0.011
}

***

(5)
{
  "formula": "NaAgBi3",
  "functional": "PBE",
  "state": "optimized geometry",
  "lattice_angstrom": [[-2.7336, 0.7135, 4.7223], [-2.0638, -5.0834, -0.4267], [4.3069, -1.9830, 2.7928]],
  "species": ["Na", "Bi", "Bi", "Bi", "Ag"],
  "fractional_positions": [[0.0000, 0.0000, 0.0000], [0.0000, 0.5000, 0.0000], [0.0000, 0.0000, 0.5000], [0.5000, 0.0000, 0.0000], [0.5000, 0.5000, 0.5000]],
  "energy_ev_per_atom": -2.4454,
  "de_polymorph_ev_per_atom": 0.763
}

***

(6)
{
  "formula": "AcY2Se4",
  "functional": "PBE",
  "state": "optimized geometry",
  "lattice_angstrom": [[4.1676, 0.0000, 0.0000], [-2.0838, 6.7624, 0.0000], [0.0000, 0.0000, 14.0130]],
  "species": ["Ac", "Ac", "Y", "Y", "Y", "Y", "Se", "Se", "Se", "Se", "Se", "Se", "Se", "Se"],
  "fractional_positions": [[0.6197, 0.2394, 0.7500], [0.3803, 0.7606, 0.2500], [0.1294, 0.2588, 0.4366], [0.8706, 0.7412, 0.9366], [0.1294, 0.2588, 0.0634], [0.8706, 0.7412, 0.5634], [0.7704, 0.5408, 0.1179], [0.7704, 0.5408, 0.3821], [0.2296, 0.4592, 0.8821], [0.2296, 0.4592, 0.6179], [0.9501, 0.9002, 0.7500], [0.0499, 0.0998, 0.2500], [0.5000, 0.0000, 0.0000], [0.5000, 0.0000, 0.5000]],
  "energy_ev_per_atom": -6.3540,
  "e_form_raw_ev_per_atom": -1.93
}

***

Number 1: V 422.4 Å³ per cell. Number 2: V 844.1 Å³ per cell. Number 3: V 98.7 Å³ per cell. Number 4: V 202.7 Å³ per cell. Number 5: V 166.6 Å³ per cell. Number 6: V 394.9 Å³ per cell.